BaNa2Si2 | GGA-PBEsol | optimized geometry

Space group ... I4/mmm, No. 139
Formation energy without anion corrections ... -0.14 eV/atom

Geometry as CIF:
```
data_BaNa2Si2
_chemical_formula_sum 'Ba1 Na2 Si2'
_cell_length_a 4.687
_cell_length_b 4.687
_cell_length_c 7.121
_cell_angle_alpha 109.22
_cell_angle_beta 109.22
_cell_angle_gamma 90.00
_space_group_name_H-M_alt 'P 1'
_space_group_IT_number 1
_space_group_name_Hall 'P 1'
loop_
_atom_site_label
_atom_site_type_symbol
_atom_site_fract_x
_atom_site_fract_y
_atom_site_fract_z
Na1 Na 0.250 0.750 0.500
Na2 Na 0.750 0.250 0.500
Si1 Si 0.410 0.410 0.820
Si2 Si 0.590 0.590 0.180
Ba1 Ba 0.000 0.000 0.000
```

=====

AgPb3 | GGA-PBEsol | optimized geometry

Space group ... R-3m, No. 166
Energy of formation ... 0.072 eV/atom

Geometry as CIF:
```
data_AgPb3
_chemical_formula_sum 'Ag1 Pb3'
_cell_length_a 3.448
_cell_length_b 3.448
_cell_length_c 10.412
_cell_angle_alpha 80.47
_cell_angle_beta 80.47
_cell_angle_gamma 60.00
_space_group_name_H-M_alt 'P 1'
_space_group_IT_number 1
_space_group_name_Hall 'P 1'
loop_
_atom_site_label
_atom_site_type_symbol
_atom_site_fract_x
_atom_site_fract_y
_atom_site_fract_z
Pb1 Pb 0.740 0.740 0.780
Pb2 Pb 0.500 0.500 0.500
Pb3 Pb 0.260 0.260 0.220
Ag1 Ag 0.000 0.000 0.000
```